SrMnTe2O8 | PBE with a Hubbard U | optimized geometry

Cell lengths 5.112, 6.408, 5.118 Å; angles 90.00, 94.92, 90.00 degrees
Element x y z (fractional)
1 Sr 0.000 0.000 0.000
2 Mn 0.000 0.500 0.000
3 Te 0.500 0.257 0.500
4 Te 0.500 0.743 0.500
5 O 0.230 0.271 0.227
6 O 0.230 0.729 0.227
7 O 0.320 0.500 0.678
8 O 0.332 0.000 0.665
9 O 0.668 0.000 0.335
10 O 0.680 0.500 0.322
11 O 0.770 0.271 0.773
12 O 0.770 0.729 0.773

Values from the calculation:
* N(E_F): 0.0616 states/eV/atom
* total DFT energy (no corrections): -71.570 eV per cell
* space group: P2/m, No. 10
* total magnetic moment: 4.98 μB per cell